Here is an optimized crystal structure of Pr4SiAuCl2 from Alexandria via LeMat-Bulk. Energies are from PBE-GGA.

Calculated values
**SG**: P2/m, No. 10
**Raw formation energy**: -1.1179 eV per atom
**Total magnetic moment**: 0.0 μB/cell

a b c (Å): 4.2552 7.2196 7.6103
angles (deg): 70.82 90.00 90.00
Last column: nearest neighbours and their distance in Å.
Sites, in units of the cell vectors:
Au 0.5000 0.5000 0.0000  6 Pr 3.00-3.05
Cl 0.5000 0.0000 0.5000  6 Pr 3.00-3.05
Cl 0.0000 0.0000 0.0000  6 Pr 3.10
Pr 0.0000 0.7393 0.7476  1 Si 2.95, 2 Au 3.00, 3 Cl 3.05-3.10
Pr 0.0000 0.2607 0.2524  1 Si 2.95, 2 Au 3.00, 3 Cl 3.05-3.10
Pr 0.5000 0.7394 0.2632  2 Si 2.95, 3 Cl 3.00-3.10, 1 Au 3.05
Pr 0.5000 0.2606 0.7368  2 Si 2.95, 3 Cl 3.00-3.10, 1 Au 3.05
Si 0.0000 0.5000 0.5000  6 Pr 2.95



Here is an optimized crystal structure of Pr3TeAuCl from Alexandria via LeMat-Bulk. Energies are from PBE-GGA.

Calculated values
**SG**: P2_1/m, No. 11
**Raw formation energy**: -1.1248 eV per atom
**Total magnetic moment**: 0.0 μB/cell

a b c (Å): 4.2549 8.1928 10.8426
angles (deg): 109.17 90.00 90.00
Last column: nearest neighbours and their distance in Å.
Sites, in units of the cell vectors:
Pr 0.2500 0.7331 0.5209  3 Cl 2.99-3.15, 2 Te 3.32
Pr 0.2500 0.5224 0.7776  3 Au 3.02-3.09, 1 Cl 3.04, 2 Te 3.28
Pr 0.7500 0.8747 0.0916  2 Au 3.04, 1 Cl 3.18, 3 Te 3.24-3.39
Pr 0.7500 0.2669 0.4791  3 Cl 2.99-3.15, 2 Te 3.32
Pr 0.2500 0.1253 0.9084  2 Au 3.04, 1 Cl 3.18, 3 Te 3.24-3.39
Pr 0.7500 0.4776 0.2224  3 Au 3.02-3.09, 1 Cl 3.04, 2 Te 3.28
Cl 0.7500 0.8602 0.3814  5 Pr 2.99-3.18
Cl 0.2500 0.1398 0.6186  5 Pr 2.99-3.18
Au 0.7500 0.3966 0.9232  2 Au 2.88, 5 Pr 3.02-3.09
Au 0.2500 0.6034 0.0768  2 Au 2.88, 5 Pr 3.02-3.09
Te 0.2500 0.1767 0.2312  7 Pr 3.24-3.39
Te 0.7500 0.8233 0.7688  7 Pr 3.24-3.39



Here is an optimized crystal structure of PtAu2Cl8 from Alexandria via LeMat-Bulk. Energies are from PBE-GGA.

Calculated values
**SG**: C2/m, No. 12
**Raw formation energy**: -0.1798 eV per atom
**Total magnetic moment**: 0.0 μB/cell
**Offset from the most stable computed form**: 62 meV per atom

a b c (Å): 6.6917 7.2600 7.2600
angles (deg): 69.44 80.24 80.24
Last column: nearest neighbours and their distance in Å.
Sites, in units of the cell vectors:
Cl 0.7040 0.5846 0.5846  1 Au 2.25
Cl 0.7452 0.1695 0.1695  1 Pt 2.36
Cl 0.8127 0.7282 0.1046  1 Pt 2.35, 1 Au 2.47
Cl 0.1873 0.2718 0.8954  1 Pt 2.35, 1 Au 2.47
Cl 0.2548 0.8305 0.8305  1 Pt 2.36
Cl 0.1873 0.8954 0.2718  1 Pt 2.35, 1 Au 2.47
Cl 0.8127 0.1046 0.7282  1 Pt 2.35, 1 Au 2.47
Cl 0.2960 0.4154 0.4154  1 Au 2.25
Au 0.2467 0.2343 0.2343  3 Cl 2.25-2.47
Au 0.7533 0.7657 0.7657  3 Cl 2.25-2.47
Pt 0.0000 0.0000 0.0000  6 Cl 2.35-2.36



Here is an optimized crystal structure of PtAuCl2 from Alexandria via LeMat-Bulk. Energies are from PBE-GGA.

Calculated values
**SG**: C2/m, No. 12
**Raw formation energy**: 0.1227 eV per atom
**Total magnetic moment**: 0.5 μB/cell
**Offset from the most stable computed form**: 198 meV per atom

a b c (Å): 7.1522 7.1522 4.8797
angles (deg): 70.15 70.15 25.23
Last column: nearest neighbours and their distance in Å.
Sites, in units of the cell vectors:
Cl 0.1053 0.1053 0.8939  2 Pt 2.45
Cl 0.3947 0.3947 0.6061  2 Pt 2.45
Pt 0.7500 0.7500 0.7500  4 Cl 2.45
Au 0.2500 0.2500 0.2500  4 Pt 2.90, 4 Cl 3.09, 2 Au 3.12